1.
## Zr2Zn2Br (GGA-PBE)

Data for a relaxed Zr2Zn2Br crystal.

Cell: 4.6557 4.6557 6.3457 Å, 68.48 68.48 90.00°
Last column: nearest neighbours and their distance in Å.
Fractional positions:
Zn  0.3898  0.3898  0.2205  1 Zn 2.39
Zn  0.6102  0.6102  0.7795  1 Zn 2.39
Br  0.0000  0.0000  0.0000  8 Zn 3.50, 8 Zr 3.57
Zr  0.7500  0.2500  0.5000  4 Zn 2.78
Zr  0.2500  0.7500  0.5000  4 Zn 2.78

Energy above the most stable polymorph in this dataset ... 2.98 eV/f.u.
Raw formation energy ... 0.3738 eV per atom

***

2.
## Rb2PdPtI6 (GGA-PBE)

Data for a relaxed Rb2PdPtI6 crystal.

Cell: 7.9533 7.9533 14.2973 Å, 73.85 73.85 60.00°
Last column: nearest neighbours and their distance in Å.
Fractional positions:
Rb  0.8820  0.8820  0.3541  12 I 3.86-4.31
Rb  0.1180  0.1180  0.6459  12 I 3.86-4.31
Rb  0.7002  0.7002  0.8994  9 I 3.82-3.99
Rb  0.2998  0.2998  0.1006  9 I 3.82-3.99
Pd  0.5847  0.5847  0.2460  6 I 2.86-2.88
Pd  0.4153  0.4153  0.7540  6 I 2.86-2.88
Pt  0.0000  0.0000  0.0000  6 I 2.81
Pt  0.5000  0.5000  0.5000  6 I 2.78
I  0.8663  0.3774  0.3790  1 Pt 2.78, 1 Pd 2.88
I  0.3774  0.8663  0.3790  1 Pt 2.78, 1 Pd 2.88
I  0.3774  0.3774  0.3790  1 Pt 2.78, 1 Pd 2.88
I  0.1337  0.6226  0.6210  1 Pt 2.78, 1 Pd 2.88
I  0.6226  0.1337  0.6210  1 Pt 2.78, 1 Pd 2.88
I  0.6226  0.6226  0.6210  1 Pt 2.78, 1 Pd 2.88
I  0.7119  0.2056  0.8769  1 Pt 2.81, 1 Pd 2.86
I  0.2056  0.7119  0.8769  1 Pt 2.81, 1 Pd 2.86
I  0.2056  0.2056  0.8769  1 Pt 2.81, 1 Pd 2.86
I  0.2881  0.7944  0.1231  1 Pt 2.81, 1 Pd 2.86
I  0.7944  0.2881  0.1231  1 Pt 2.81, 1 Pd 2.86
I  0.7944  0.7944  0.1231  1 Pt 2.81, 1 Pd 2.86

Energy above the most stable polymorph in this dataset ... 0.20 eV/f.u.
Raw formation energy ... -0.6323 eV per atom

***

Which value of energy above the most stable polymorph in this dataset does entry 1 give?
2.98 eV/f.u.